Below is a relaxed Nd2P3Au6 crystal, with properties calculated at the PBE level.

## Properties
Symmetry: P-62m
E_form, eV per atom: -0.48

a b c (Å): 4.313 7.713 7.713
angles (deg): 120.00 90.00 90.00
Element x y z (fractional)
1 Au 0.500 0.000 0.327
2 Au 0.000 0.211 0.211
3 Au 0.000 0.000 0.789
4 Au 0.000 0.789 0.000
5 Au 0.500 0.673 0.673
6 Au 0.500 0.327 0.000
7 Nd 0.000 0.333 0.667
8 Nd 0.000 0.667 0.333
9 P 0.500 0.641 0.000
10 P 0.500 0.000 0.641
11 P 0.500 0.359 0.359